1.
The following is a DFT calculation (PBE-GGA) of Zn2FeCl after structural relaxation.

## Properties
As for the crystal system: orthorhombic. The energy above the most stable polymorph in this dataset is 26.1 kJ per mole of atoms. The calculation puts the raw formation energy at 0.258 eV per atom.

Cell: 2.8586 4.1941 5.5526 Å, 90.00 90.00 90.00°
With the nearest neighbours (Å) after each atom.
Space group Pmmm (No. 47)
Symmetry-distinct sites (fractional):
Zn 0.0000 0.0000 0.0000 x1  4 Zn 2.54
Zn 0.5000 0.5000 0.0000 x1  4 Zn 2.54
Fe 0.0000 0.5000 0.5000 x1  4 Cl 2.54
Cl 0.5000 0.0000 0.5000 x1  4 Fe 2.54

2.
The following is a DFT calculation (PBE-GGA) of BaGdRh2 after structural relaxation.

## Properties
As for the crystal system: tetragonal. For the formation energy, the calculation gives -0.38 eV per atom.

Cell: 3.5299 3.5299 7.6429 Å, 90.00 90.00 90.00°
With the nearest neighbours (Å) after each atom.
Space group P4/mmm (No. 123)
Symmetry-distinct sites (fractional):
Ba 0.0000 0.0000 0.0000 x1  8 Rh 3.37, 4 Ba 3.53
Gd 0.0000 0.0000 0.5000 x1  8 Rh 2.95
Rh 0.5000 0.5000 0.2955 x2  4 Gd 2.95, 1 Rh 3.13

3.
The following is a DFT calculation (PBE-GGA) of TlIn2TeO8 after structural relaxation.

## Properties
As for the crystal system: monoclinic. The calculation puts the raw formation energy at -1.028 eV per atom.

Cell: 4.8949 6.7836 4.8961 Å, 90.00 91.98 90.00°
With the nearest neighbours (Å) after each atom.
Space group P2/m (No. 10)
Symmetry-distinct sites (fractional):
Tl 0.0000 0.0000 0.0000 x1  6 O 2.12-2.36
In 0.5000 0.2538 0.5000 x2  6 O 2.15-2.21
Te 0.0000 0.5000 0.0000 x1  6 O 1.95-1.97
O 0.1880 0.2878 0.8131 x4  1 Te 1.95
O 0.2886 0.5000 0.2897 x2  1 Te 1.97, 2 In 2.20
O 0.3105 0.0000 0.3121 x2  1 Tl 2.12, 2 In 2.15

4.
The following is a DFT calculation (PBE-GGA) of Y4CoCu3 after structural relaxation.

## Properties
As for the crystal system: orthorhombic. For the formation energy, the calculation gives -0.24 eV per atom.

Cell: 3.7553 4.3660 10.3864 Å, 90.00 90.00 90.00°
With the nearest neighbours (Å) after each atom.
Space group Pmm2 (No. 25)
Symmetry-distinct sites (fractional):
Y 0.0000 0.0000 0.0000 x1  2 Co 2.83, 5 Cu 2.95-3.11
Y 0.0000 0.5000 0.2692 x1  3 Cu 2.86-3.03, 4 Co 2.96
Y 0.5000 0.0000 0.4801 x1  1 Co 2.87, 6 Cu 2.96-3.00
Y 0.5000 0.5000 0.7737 x1  7 Cu 2.90-2.99
Co 0.5000 0.0000 0.2040 x1  2 Cu 2.64, 3 Y 2.83-2.87
Cu 0.0000 0.0000 0.7008 x1  2 Cu 2.62
Cu 0.0000 0.5000 0.5606 x1  2 Cu 2.62, 2 Y 2.90
Cu 0.5000 0.5000 0.0619 x1  2 Co 2.64, 6 Y 2.86-2.95

5.
The following is a DFT calculation (PBE-GGA) of MnVSiTc after structural relaxation.

## Properties
As for the crystal system: cubic. The calculation puts the raw formation energy at -0.471 eV per atom.

Cell: 5.8451 5.8451 5.8451 Å, 90.00 90.00 90.00°
With the nearest neighbours (Å) after each atom.
Space group F-43m (No. 216)
Symmetry-distinct sites (fractional):
Mn 0.0000 0.0000 0.0000 x4  4 Si 2.53, 4 V 2.53
V 0.2500 0.2500 0.2500 x4  4 Mn 2.53, 4 Tc 2.53
Si 0.2500 0.2500 0.7500 x4  4 Mn 2.53, 4 Tc 2.53
Tc 0.0000 0.0000 0.5000 x4  4 Si 2.53, 4 V 2.53

6.
The following is a DFT calculation (PBE-GGA) of CuAuC2 after structural relaxation.

## Properties
As for the crystal system: tetragonal. The energy above the most stable polymorph in this dataset is 0.0 kJ per mole of atoms. For the formation energy, the calculation gives 1.76 eV per atom.

Cell: 4.7699 4.7699 9.1281 Å, 90.00 90.00 90.00°
With the nearest neighbours (Å) after each atom.
Space group I-42d (No. 122)
Symmetry-distinct sites (fractional):
Cu 0.0000 0.0000 0.0000 x4  4 C 1.97
Au 0.0000 0.0000 0.5000 x4  4 C 2.11
C 0.2244 0.2500 0.1250 x8  2 Cu 1.97, 2 Au 2.11

7.
The following is a DFT calculation (PBE-GGA) of Ce2ZrPb after structural relaxation.

## Properties
As for the crystal system: tetragonal. The energy above the most stable polymorph in this dataset is 0.0 kJ per mole of atoms. For the formation energy, the calculation gives -0.21 eV per atom.

Cell: 4.4963 4.4963 5.0703 Å, 90.00 90.00 90.00°
With the nearest neighbours (Å) after each atom.
Space group P4/mmm (No. 123)
Symmetry-distinct sites (fractional):
Ce 0.0000 0.5000 0.0000 x2  4 Ce 3.18, 4 Zr 3.39, 4 Pb 3.39
Zr 0.0000 0.0000 0.5000 x1  4 Pb 3.18, 8 Ce 3.39
Pb 0.5000 0.5000 0.5000 x1  4 Zr 3.18, 8 Ce 3.39

8.
The following is a DFT calculation (PBE-GGA) of GdCoNi3B after structural relaxation.

## Properties
As for the crystal system: hexagonal. For the formation energy, the calculation gives -0.37 eV per atom.

Cell: 4.9960 4.9960 7.0045 Å, 90.00 90.00 120.00°
With the nearest neighbours (Å) after each atom.
Space group P6/mmm (No. 191)
Symmetry-distinct sites (fractional):
Gd 0.0000 0.0000 0.0000 x1  6 Co 2.88
Gd 0.0000 0.0000 0.5000 x1  6 B 2.88, 12 Ni 2.89
Co 0.3333 0.6667 0.0000 x2  6 Ni 2.51
Ni 0.0000 0.5000 0.2926 x6  2 B 2.05
B 0.3333 0.6667 0.5000 x2  6 Ni 2.05

9.
The following is a DFT calculation (PBE-GGA) of TmMnCuRh after structural relaxation.

## Properties
As for the crystal system: cubic. For the formation energy, the calculation gives -0.27 eV per atom.

Cell: 6.4576 6.4576 6.4576 Å, 90.00 90.00 90.00°
With the nearest neighbours (Å) after each atom.
Space group F-43m (No. 216)
Symmetry-distinct sites (fractional):
Tm 0.0000 0.0000 0.0000 x4  4 Rh 2.80, 4 Cu 2.80
Mn 0.0000 0.0000 0.5000 x4  4 Cu 2.80, 4 Rh 2.80
Cu 0.2500 0.2500 0.7500 x4  4 Mn 2.80, 4 Tm 2.80
Rh 0.2500 0.2500 0.2500 x4  4 Mn 2.80, 4 Tm 2.80

10.
The following is a DFT calculation (PBE-GGA) of CdHgRu2 after structural relaxation.

## Properties
As for the crystal system: cubic. The energy above the most stable polymorph in this dataset is 38.4 kJ per mole of atoms. For the formation energy, the calculation gives 0.59 eV per atom.

Cell: 6.4912 6.4912 6.4912 Å, 90.00 90.00 90.00°
With the nearest neighbours (Å) after each atom.
Space group F-43m (No. 216)
Symmetry-distinct sites (fractional):
Cd 0.0000 0.0000 0.0000 x4  4 Hg 2.81, 4 Ru 2.81
Hg 0.2500 0.2500 0.2500 x4  4 Cd 2.81, 4 Ru 2.81
Ru 0.0000 0.0000 0.5000 x4  4 Hg 2.81, 4 Ru 2.81
Ru 0.2500 0.2500 0.7500 x4  4 Cd 2.81, 4 Ru 2.81

11.
The following is a DFT calculation (PBE-GGA) of CuC after structural relaxation.

## Properties
As for the crystal system: hexagonal. The energy above the most stable polymorph in this dataset is 0.1 kJ per mole of atoms. For the formation energy, the calculation gives 0.22 eV per atom.

Cell: 2.4659 2.4659 19.1877 Å, 90.00 90.00 120.00°
With the nearest neighbours (Å) after each atom.
Space group P6_3/mmc (No. 194)
Symmetry-distinct sites (fractional):
Cu 0.3333 0.6667 0.0575 x4  9 Cu 2.47-2.63
C 0.0000 0.0000 0.2500 x2  3 C 1.42
C 0.3333 0.6667 0.7500 x2  3 C 1.42

12.
The following is a DFT calculation (PBE-GGA) of ErTeS after structural relaxation.

## Properties
As for the crystal system: tetragonal. The energy above the most stable polymorph in this dataset is 6.2 kJ per mole of atoms. The calculation puts the raw formation energy at -1.432 eV per atom.

Cell: 4.7300 4.7300 7.4549 Å, 90.00 90.00 90.00°
With the nearest neighbours (Å) after each atom.
Space group P4/nmm (No. 129, origin choice 2)
Symmetry-distinct sites (fractional):
Er 0.2500 0.2500 0.1756 x2  4 S 2.70
Te 0.2500 0.7500 0.5000 x2  4 Te 3.34, 4 Er 3.38, 2 S 3.73
S 0.2500 0.7500 0.0000 x2  4 Er 2.70

| no. | electronic total energy (eV per cell) |
| --- | --- |
| 1 | -11.8 |
| 2 | -32.2 |
| 3 | -63.0 |
| 4 | -47.2 |
| 5 | -143.8 |
| 6 | -75.1 |
| 7 | -25.0 |
| 8 | -94.9 |
| 9 | -104.7 |
| 10 | -69.6 |
| 11 | -51.5 |
| 12 | -32.3 |